<a>
12
Lattice="1.825 -14.326 0.000 1.825 14.326 0.000 0.000 0.000 6.692" Properties=species:S:1:pos:R:3 comment="Y2ErTl3, optimized geometry, DFT PBE" n_ef_per_ev_atom=0.681 pbc="T T T"
Y 1.825 14.202 5.019
Y 1.825 9.984 1.673
Y 1.825 -9.984 5.019
Y 1.825 -14.202 1.673
Er 1.825 4.839 1.673
Er 1.825 -4.839 5.019
Tl 1.825 6.975 5.019
Tl 1.825 2.204 3.387
Tl 1.825 2.204 6.652
Tl 1.825 -2.204 0.040
Tl 1.825 -2.204 3.306
Tl 1.825 -6.975 1.673


<b>
6
Lattice="3.756 0.000 0.000 0.000 3.756 0.000 0.000 0.000 11.568" Properties=species:S:1:pos:R:3 comment="Y2ErTl3, optimized geometry, DFT PBE" n_ef_per_ev_atom=0.711 pbc="T T T"
Y 0.000 0.000 1.944
Y 0.000 0.000 9.624
Er 0.000 0.000 5.784
Tl 1.878 1.878 0.000
Tl 1.878 1.878 3.891
Tl 1.878 1.878 7.677


Best to worst by energy: <b>, <a>.


<a>
4
Lattice="4.543 0.000 0.000 0.000 4.543 0.000 0.000 0.000 4.118" Properties=species:S:1:pos:R:3 comment="ErTlZn2, optimized geometry, DFT PBE" n_ef_per_ev_atom=0.674 pbc="T T T"
Er 0.000 0.000 0.000
Tl 2.271 2.271 0.000
Zn 0.000 2.271 2.059
Zn 2.271 0.000 2.059


<b>
4
Lattice="3.678 0.000 0.000 0.000 3.678 0.000 0.000 0.000 6.633" Properties=species:S:1:pos:R:3 comment="ErTlZn2, optimized geometry, DFT PBE" n_ef_per_ev_atom=0.721 pbc="T T T"
Er 0.000 0.000 0.000
Tl 0.000 0.000 3.316
Zn 1.839 1.839 1.580
Zn 1.839 1.839 5.052


Best to worst by energy: <a>, <b>.


<a>
10
Lattice="2.533 -10.173 0.000 2.533 10.173 0.000 0.000 0.000 5.070" Properties=species:S:1:pos:R:3 comment="Er3TlZn, optimized geometry, DFT PBE" n_ef_per_ev_atom=1.164 pbc="T T T"
Er 2.533 8.939 3.802
Er 2.533 5.095 3.802
Er 2.533 1.267 3.802
Er 2.533 -1.267 1.267
Er 2.533 -5.095 1.267
Er 2.533 -8.939 1.267
Tl 2.533 3.211 1.267
Tl 2.533 -3.211 3.802
Zn 2.533 7.033 1.267
Zn 2.533 -7.033 3.802


<b>
15
Lattice="7.301 0.000 0.000 0.000 7.301 0.000 0.000 0.000 7.301" Properties=species:S:1:pos:R:3 comment="Er3TlZn, optimized geometry, DFT PBE" n_ef_per_ev_atom=1.110 pbc="T T T"
Er 0.000 0.000 0.000
Er 1.943 1.943 1.943
Er 1.943 1.943 5.359
Er 1.943 5.359 1.943
Er 1.943 5.359 5.359
Er 5.359 1.943 1.943
Er 5.359 1.943 5.359
Er 5.359 5.359 1.943
Er 5.359 5.359 5.359
Tl 0.000 0.000 3.651
Tl 0.000 3.651 0.000
Tl 3.651 0.000 0.000
Zn 0.000 3.651 3.651
Zn 3.651 0.000 3.651
Zn 3.651 3.651 0.000


Best to worst by energy: <a>, <b>.


<a>
3
Lattice="1.760 1.016 8.386 -1.760 1.016 8.386 0.000 -2.032 8.386" Properties=species:S:1:pos:R:3 comment="ErTm2, optimized geometry, DFT PBE" n_ef_per_ev_atom=1.281 pbc="T T T"
Er 0.000 0.000 0.000
Tm 0.000 0.000 5.579
Tm 0.000 0.000 19.578


<b>
3
Lattice="-1.741 1.741 7.426 1.741 -1.741 7.426 1.741 1.741 -7.426" Properties=species:S:1:pos:R:3 comment="ErTm2, optimized geometry, DFT PBE" n_ef_per_ev_atom=1.313 pbc="T T T"
Er 0.000 0.000 0.000
Tm 0.000 0.000 4.947
Tm 0.000 0.000 9.905


<c>
6
Lattice="2.818 -8.812 0.000 2.818 8.812 0.000 0.000 0.000 3.683" Properties=species:S:1:pos:R:3 comment="ErTm2, optimized geometry, DFT PBE" n_ef_per_ev_atom=1.931 pbc="T T T"
Er 2.818 7.177 2.762
Er 2.818 -7.177 0.921
Tm 2.818 4.117 0.921
Tm 2.818 1.319 2.762
Tm 2.818 -1.319 0.921
Tm 2.818 -4.117 2.762


Best to worst by energy: <a>, <b>, <c>.


<a>
4
Lattice="5.522 0.000 0.000 0.000 3.568 0.000 0.000 0.000 6.177" Properties=species:S:1:pos:R:3 comment="ErTm, optimized geometry, DFT PBE" n_ef_per_ev_atom=1.575 pbc="T T T"
Er 1.380 0.000 1.034
Er 4.141 0.000 5.143
Tm 1.380 1.784 4.119
Tm 4.141 1.784 2.058


<b>
4
Lattice="3.463 0.000 0.000 0.000 5.414 0.000 -1.722 0.000 6.458" Properties=species:S:1:pos:R:3 comment="ErTm, optimized geometry, DFT PBE" n_ef_per_ev_atom=1.859 pbc="T T T"
Er 0.001 1.354 2.219
Er 1.740 4.061 4.238
Tm 0.011 1.354 5.609
Tm 1.730 4.061 0.848


Best to worst by energy: <a>, <b>.


<a>
4
Lattice="6.335 -1.783 0.000 6.335 1.783 0.000 -3.007 0.000 5.391" Properties=species:S:1:pos:R:3 comment="ErTm, optimized geometry, DFT PBE" n_ef_per_ev_atom=1.626 pbc="T T T"
Er 0.203 0.000 2.470
Er 9.459 0.000 2.921
Tm 4.625 0.000 0.220
Tm 5.037 0.000 5.171


<b>
2
Lattice="3.942 0.000 0.000 0.000 3.942 0.000 0.000 0.000 3.942" Properties=species:S:1:pos:R:3 comment="ErTm, optimized geometry, DFT PBE" n_ef_per_ev_atom=2.155 pbc="T T T"
Er 0.000 0.000 0.000
Tm 1.971 1.971 1.971


Best to worst by energy: <a>, <b>.